# 1
AlSeCl2 | the Alexandria database | SCAN | single point on PBEsol structure; ΔE to the lowest computed polymorph = 0.728 eV/atom; E_form (uncorrected) = 28 meV/atom; D(E_F) = 2.84 states/eV per cell
1.0
4.6816 0.0000 0.0000
2.3408 4.0543 0.0000
2.3408 1.3514 3.8225
Al Se Cl
1 1 2
Direct
0.5000 0.5000 0.5000 Al
0.2500 0.2500 0.2500 Se
0.0000 0.0000 0.0000 Cl
0.7500 0.7500 0.7500 Cl


# 2
Ni2MoRh | the Alexandria database | SCAN | single point on PBEsol structure; ΔE to the lowest computed polymorph = 0.061 eV/atom; formation energy = -47 meV per atom; D(E_F) = 3.37 states/eV per cell
1.0
3.6395 0.0000 0.0000
0.0000 3.6395 0.0000
-1.8197 -1.8197 3.7118
Ni Mo Rh
2 1 1
Direct
0.7500 0.2500 0.5000 Ni
0.2500 0.7500 0.5000 Ni
0.5000 0.5000 0.0000 Mo
0.0000 0.0000 0.0000 Rh


# 3
Rb2BeGaSe | the Alexandria database | SCAN | single point on PBEsol structure; E_form (uncorrected) = 33 meV/atom; D(E_F) = 3.12 states/eV per cell
1.0
-0.0952 4.0595 -0.2685
-4.0401 0.2528 5.2540
5.2578 0.3894 4.0243
Be Ga Se Rb
1 1 1 2
Direct
0.5000 0.0000 0.0000 Be
0.5000 0.5000 0.5000 Ga
0.0000 0.0000 0.0000 Se
0.0000 0.0000 0.5000 Rb
0.0000 0.5000 0.0000 Rb


# 4
MnSe2NCl | the Alexandria database | SCAN | single point on PBEsol structure; E_form (uncorrected) = 384 meV/atom; D(E_F) = 3.77 states/eV per cell
1.0
-0.9433 -2.9600 -1.4069
3.5816 0.4090 -3.2618
2.9998 -2.3797 2.9954
N Mn Se Cl
1 1 2 1
Direct
0.5000 0.0000 0.0000 N
0.0000 0.0000 0.0000 Mn
0.0000 0.0000 0.5000 Se
0.0000 0.5000 0.0000 Se
0.5000 0.5000 0.5000 Cl


# 5
LiCu2Cl | the Alexandria database | SCAN | single point on PBEsol structure; ΔE to the lowest computed polymorph = 0.510 eV/atom; E_form (uncorrected) = 151 meV/atom; D(E_F) = 0.87 states/eV per cell
1.0
-2.5858 -1.2817 -0.4111
2.2394 -1.6949 0.7814
-1.7910 1.1599 7.6488
Cl Cu Li
1 2 1
Direct
0.5000 0.5000 0.0000 Cl
0.0000 0.0000 0.2360 Cu
0.0000 0.0000 0.7640 Cu
0.5000 0.5000 0.5000 Li


# 6
TaTcMo2 | the Alexandria database | SCAN | single point on PBEsol structure; ΔE to the lowest computed polymorph = 0.004 eV/atom; formation energy = -217 meV per atom; D(E_F) = 1.37 states/eV per cell
1.0
4.4393 0.0000 0.0000
2.2196 3.8445 0.0000
2.2196 1.2815 3.6246
Mo Tc Ta
2 1 1
Direct
0.0000 0.0000 0.0000 Mo
0.2500 0.2500 0.2500 Mo
0.7500 0.7500 0.7500 Tc
0.5000 0.5000 0.5000 Ta


# 7
Ti3CoNi2P6O24 | the Alexandria database | SCAN | single point on PBEsol structure; E_form (uncorrected) = -2491 meV/atom; D(E_F) = 8.17 states/eV per cell
1.0
-6.5098 2.9637 4.3398
-2.9489 -4.5280 6.3872
1.3018 2.7488 7.7939
Ti Co Ni P O
3 1 2 6 24
Direct
0.8590 0.8590 0.8590 Ti
0.6430 0.6430 0.6430 Ti
0.3575 0.3575 0.3575 Ti
0.1410 0.1410 0.1410 Co
0.0010 0.0010 0.0010 Ni
0.5016 0.5016 0.5016 Ni
0.4542 0.0458 0.7511 P
0.0458 0.7511 0.4542 P
0.7511 0.4542 0.0458 P
0.2476 0.5420 0.9555 P
0.9555 0.2476 0.5420 P
0.5420 0.9555 0.2476 P
0.6690 0.5135 0.8881 O
0.5135 0.8881 0.6690 O
0.0875 0.7427 0.9481 O
0.8881 0.6690 0.5135 O
0.1823 0.3873 0.9882 O
0.4081 0.5686 0.7551 O
0.9481 0.0875 0.7427 O
0.7551 0.4081 0.5686 O
0.6187 0.9988 0.8188 O
0.5686 0.7551 0.4081 O
0.2592 0.0479 0.9086 O
0.9988 0.8188 0.6187 O
0.9882 0.1823 0.3873 O
0.7427 0.9481 0.0875 O
0.4419 0.2453 0.5912 O
0.3873 0.9882 0.1823 O
0.2453 0.5912 0.4419 O
0.0479 0.9086 0.2592 O
0.5912 0.4419 0.2453 O
0.8188 0.6187 0.9988 O
0.1182 0.3191 0.4944 O
0.9086 0.2592 0.0479 O
0.4944 0.1182 0.3191 O
0.3191 0.4944 0.1182 O


# 8
MnAgRh | the Alexandria database | SCAN | single point on PBEsol structure; ΔE to the lowest computed polymorph = 0.116 eV/atom; formation energy = 3 meV per atom; D(E_F) = 1.73 states/eV per cell
1.0
-0.3766 -2.6767 -0.5553
2.9599 -1.0198 2.9085
-4.1009 0.3378 1.1527
Ag Mn Rh
1 1 1
Direct
0.0000 0.0000 0.0000 Ag
0.5000 0.3333 0.6667 Mn
0.5000 0.6667 0.3333 Rh


> Among the records above, which one has the highest D(E_F)?

Ti3CoNi2P6O24


> What is the D(E_F) in the fifth record?

0.87 states/eV per cell